No. 1
## MnTl2Tc (PBE)

Data for crystalline MnTl2Tc at its relaxed geometry.

```
data_MnTl2Tc
_chemical_formula_sum 'Mn2 Tl4 Tc2'
_space_group_name_H-M_alt 'C m m m'
_space_group_IT_number 65
_space_group_name_Hall '-C 2 2'
_cell_length_a 3.2346
_cell_length_b 5.2403
_cell_length_c 9.3180
_cell_angle_alpha 90.00
_cell_angle_beta 90.00
_cell_angle_gamma 90.00
loop_
_atom_site_label
_atom_site_type_symbol
_atom_site_fract_x
_atom_site_fract_y
_atom_site_fract_z
Mn1 Mn 0.0000 0.0000 0.0000
Tl1 Tl 0.0000 0.5000 0.2514
Tc1 Tc 0.0000 0.0000 0.5000
```

Properties
distance to the lowest polymorph of the same formula = 352 meV per atom
crystal system = orthorhombic
raw total energy = -42.42 eV/cell

No. 2
## MnTlTc2 (PBE)

Data for crystalline MnTlTc2 at its relaxed geometry.

```
data_MnTlTc2
_chemical_formula_sum 'Mn3 Tl3 Tc6'
_space_group_name_H-M_alt 'R 3 m'
_space_group_IT_number 160
_space_group_name_Hall 'R 3 -2"'
_cell_length_a 2.9215
_cell_length_b 2.9215
_cell_length_c 27.2962
_cell_angle_alpha 90.00
_cell_angle_beta 90.00
_cell_angle_gamma 120.00
loop_
_atom_site_label
_atom_site_type_symbol
_atom_site_fract_x
_atom_site_fract_y
_atom_site_fract_z
Mn1 Mn 0.0000 0.0000 0.0000
Tl1 Tl 0.0000 0.0000 0.2426
Tc1 Tc 0.0000 0.0000 0.4849
Tc2 Tc 0.0000 0.0000 0.7440
```

Properties
distance to the lowest polymorph of the same formula = 141 meV per atom
crystal system = trigonal
raw total energy = -90.99 eV/cell

No. 3
## MnTl2Tc (PBE)

Data for crystalline MnTl2Tc at its relaxed geometry.

```
data_MnTl2Tc
_chemical_formula_sum 'Mn1 Tl2 Tc1'
_space_group_name_H-M_alt 'P m m m'
_space_group_IT_number 47
_cell_length_a 3.5058
_cell_length_b 3.5206
_cell_length_c 6.1569
_cell_angle_alpha 90.00
_cell_angle_beta 90.00
_cell_angle_gamma 90.00
loop_
_space_group_symop_operation_xyz
'x,y,z'
'-x,-y,-z'
'-x,-y,z'
'x,y,-z'
'x,-y,-z'
'-x,y,z'
'-x,y,-z'
'x,-y,z'
loop_
_atom_site_label
_atom_site_type_symbol
_atom_site_fract_x
_atom_site_fract_y
_atom_site_fract_z
Mn1 Mn 0.0000 0.0000 0.0000
Tl1 Tl 0.5000 0.5000 0.2530
Tc1 Tc 0.0000 0.0000 0.5000
```

Properties
distance to the lowest polymorph of the same formula = 281 meV per atom
crystal system = orthorhombic
raw total energy = -21.49 eV/cell